Here is NbVRe after structural relaxation from Alexandria. Energies are from PBE.

POSCAR file:
```
NbVRe
1.0
6.9555 0.0176 -0.0129
6.2231 2.6621 0.0061
0.7324 -0.7853 2.5253
Re Nb V
1 1 1
direct
0.3263 0.3263 0.6737 Re
0.0009 0.0009 0.9991 Nb
0.6728 0.6728 0.3272 V
```

Values from the calculation:
mass density: 11760 kg/m³
ΔH_f (0 K): -0.16 eV per atom
total DFT energy (no corrections): -10.703 eV per atom